Density functional theory data (PBE-GGA) for a geometry-optimized HgIrI2N structure.

Cell: 6.0206 6.0206 3.8788 Å, 90.00 90.00 90.00°
With the nearest neighbours (Å) after each atom.
Space group P4/mmm (No. 123)
One atom of each set of equivalent atoms:
Hg 0.0000 0.0000 0.0000  2 N 1.94
Ir 0.5000 0.5000 0.5000  8 I 3.58, 2 Ir 3.88
I 0.0000 0.5000 0.0000  2 Hg 3.01
N 0.0000 0.0000 0.5000  2 Hg 1.94

- Energy relative to the elements, uncorrected: 1.94 eV/atom
- Total moment: 2.28 μB/cell